# 1
Density functional theory data (PBE) for a relaxed Cd2InFeCu crystal.

POSCAR file:
```
Cd2InFeCu
1.0
-1.436 3.237 3.403
-3.654 1.410 -2.883
-2.905 -3.408 2.015
Cd Fe Cu In
2 1 1 1
direct
0.000 0.000 0.500
0.500 0.000 0.000
0.500 0.500 0.500
0.000 0.000 0.000
0.000 0.500 0.000
```

Values from the calculation:
ΔE_f ... 0.723 eV per atom
Total moment ... 3.2 μB/cell

---

# 2
Density functional theory data (PBE) for a relaxed HgRu2Cl crystal.

POSCAR file:
```
HgRu2Cl
1.0
-0.544 -0.313 2.912
0.121 -2.329 -1.853
8.683 -0.774 1.538
Cl Hg Ru
1 1 2
direct
0.500 0.500 0.250
0.500 0.500 0.750
0.000 0.000 0.023
0.000 0.000 0.477
```

Values from the calculation:
ΔE to the lowest computed polymorph ... 531 meV per atom
Uncorrected formation energy ... 0.737 eV per atom
Total moment ... 0.0 μB/cell

---

# 3
Density functional theory data (PBE) for a relaxed ScP3Se crystal.

POSCAR file:
```
ScP3Se
1.0
-0.692 4.038 2.735
-2.366 -2.693 3.378
4.264 -0.840 2.318
Sc P Se
1 3 1
direct
0.000 0.000 0.000
0.000 0.500 0.000
0.000 0.000 0.500
0.500 0.000 0.000
0.500 0.500 0.500
```

Values from the calculation:
ΔE to the lowest computed polymorph ... 168 meV per atom
Uncorrected formation energy ... 0.710 eV per atom
Total moment ... 0.0 μB/cell

---

# 4
Density functional theory data (PBE) for a relaxed Dy2ThAl6 crystal.

POSCAR file:
```
Dy2ThAl6
1.0
-2.991 -0.296 2.023
-1.634 -6.921 -3.428
4.406 0.220 6.547
Dy Th Al
2 1 6
direct
0.000 0.333 0.667
0.000 0.667 0.333
0.000 0.000 0.000
0.500 0.335 0.335
0.500 0.665 0.665
0.500 0.000 0.665
0.500 0.665 0.000
0.500 0.335 0.000
0.500 0.000 0.335
```

Values from the calculation:
ΔE_f ... -0.459 eV per atom
ΔE to the lowest computed polymorph ... 0 meV per atom
Total moment ... 0.0 μB/cell

---

# 5
Density functional theory data (PBE) for a relaxed NiSBrCl2 crystal.

POSCAR file:
```
NiSBrCl2
1.0
4.546 0.000 0.000
0.000 4.546 0.000
0.000 0.000 4.742
Ni S Br Cl
1 1 1 2
direct
0.000 0.000 0.000
0.000 0.000 0.500
0.500 0.500 0.500
0.000 0.500 0.000
0.500 0.000 0.000
```

Values from the calculation:
ΔE to the lowest computed polymorph ... 0 meV per atom
Uncorrected formation energy ... 0.217 eV per atom
Total moment ... 0.0 μB/cell

---

# 6
Density functional theory data (PBE) for a relaxed Pt2Se crystal.

POSCAR file:
```
Pt2Se
1.0
-2.666 2.666 3.818
2.666 -2.666 3.818
2.666 2.666 -3.818
Pt Se
4 2
direct
0.816 0.316 0.132
0.184 0.684 0.868
0.316 0.184 0.500
0.684 0.816 0.500
0.750 0.750 0.000
0.250 0.250 0.000
```

Values from the calculation:
ΔE to the lowest computed polymorph ... 221 meV per atom
Uncorrected formation energy ... 0.142 eV per atom
Total moment ... 0.0 μB/cell

---

# 7
Density functional theory data (PBE) for a relaxed Lu2CdRh crystal.

POSCAR file:
```
Lu2CdRh
1.0
3.430 0.000 0.000
0.000 3.430 0.000
0.000 0.000 7.425
Lu Rh Cd
2 1 1
direct
0.000 0.000 0.783
0.000 0.000 0.217
0.500 0.500 0.000
0.500 0.500 0.500
```

Values from the calculation:
ΔE_f ... -0.680 eV per atom
ΔE to the lowest computed polymorph ... 0 meV per atom
Total moment ... 0.0 μB/cell

---

# 8
Density functional theory data (PBE) for a relaxed Rb2TaZnHg crystal.

POSCAR file:
```
Rb2TaZnHg
1.0
6.691 0.000 0.000
0.000 5.119 0.000
0.000 0.000 6.691
Zn Hg Rb Ta
1 1 2 1
direct
0.000 0.000 0.000
0.500 0.500 0.500
0.000 0.000 0.500
0.500 0.000 0.000
0.000 0.500 0.000
```

Values from the calculation:
ΔE_f ... 1.030 eV per atom
Total moment ... 3.2 μB/cell

---

# 9
Density functional theory data (PBE) for a relaxed TcN2F6 crystal.

POSCAR file:
```
TcN2F6
1.0
-5.597 -2.489 0.369
3.591 -1.225 -4.824
1.931 -3.979 2.448
Tc N F
1 2 6
direct
0.000 0.000 0.000
0.333 0.667 0.693
0.667 0.333 0.307
0.287 0.143 0.788
0.857 0.713 0.788
0.857 0.143 0.788
0.713 0.857 0.212
0.143 0.287 0.212
0.143 0.857 0.212
```

Values from the calculation:
Uncorrected formation energy ... -0.363 eV per atom
Total moment ... 7.0 μB/cell

---

# 10
Density functional theory data (PBE) for a relaxed Sn2PtAu crystal.

POSCAR file:
```
Sn2PtAu
1.0
7.368 0.000 0.000
0.000 7.368 0.000
3.684 3.684 3.422
Au Sn Pt
2 4 2
direct
0.000 0.000 0.000
0.750 0.250 0.500
0.611 0.125 0.250
0.139 0.625 0.250
0.375 0.389 0.750
0.875 0.861 0.750
0.500 0.500 0.000
0.250 0.750 0.500
```

Values from the calculation:
ΔE_f ... -0.091 eV per atom
ΔE to the lowest computed polymorph ... 240 meV per atom
Total moment ... 0.0 μB/cell

---

# 11
Density functional theory data (PBE) for a relaxed TbPm2Sc crystal.

POSCAR file:
```
TbPm2Sc
1.0
-1.044 0.134 3.398
-3.352 -0.818 0.865
1.544 -11.129 2.776
Tb Pm Sc
1 2 1
direct
0.500 0.500 0.501
0.080 0.080 0.759
0.253 0.253 0.241
0.667 0.667 0.999
```

Values from the calculation:
ΔE_f ... 0.051 eV per atom
ΔE to the lowest computed polymorph ... 13 meV per atom
Total moment ... 0.0 μB/cell

---

# 12
Density functional theory data (PBE) for a relaxed LaNi2As crystal.

POSCAR file:
```
LaNi2As
1.0
4.682 0.000 0.000
2.341 4.055 0.000
2.341 1.352 3.823
As La Ni
1 1 2
direct
0.500 0.500 0.500
0.250 0.250 0.250
0.000 0.000 0.000
0.750 0.750 0.750
```

Values from the calculation:
ΔE_f ... -0.140 eV per atom
Total moment ... 0.0 μB/cell

---

# 13
Density functional theory data (PBE) for a relaxed MnP3 crystal.

POSCAR file:
```
MnP3
1.0
6.028 0.005 -0.001
4.122 4.399 0.001
-5.010 -2.353 2.389
Mn P
1 3
direct
0.500 0.000 0.500
0.847 0.847 0.000
0.153 0.153 0.000
0.000 0.500 0.500
```

Values from the calculation:
ΔE_f ... 0.159 eV per atom
ΔE to the lowest computed polymorph ... 318 meV per atom
Total moment ... 2.0 μB/cell

---

# 14
Density functional theory data (PBE) for a relaxed La8Si3S4Cl crystal.

POSCAR file:
```
La8Si3S4Cl
1.0
-0.612 7.194 4.588
-7.666 1.501 -3.376
1.596 -7.443 3.908
La Si S Cl
8 3 4 1
direct
0.255 0.753 0.998
0.256 0.753 0.511
0.250 0.248 0.499
0.742 0.753 0.998
0.258 0.247 0.002
0.750 0.752 0.501
0.744 0.247 0.489
0.745 0.247 0.002
0.500 0.500 0.000
0.500 0.500 0.500
0.000 0.500 0.500
0.500 0.000 0.000
0.500 0.000 0.500
0.000 0.000 0.000
0.000 0.000 0.500
0.000 0.500 0.000
```

Values from the calculation:
Uncorrected formation energy ... -1.572 eV per atom
Total moment ... 0.0 μB/cell

---

# 15
Density functional theory data (PBE) for a relaxed Ho6InTc crystal.

POSCAR file:
```
Ho6InTc
1.0
-3.139 5.948 0.839
-2.839 1.507 6.067
3.555 4.994 4.185
Ho In Tc
6 1 1
direct
0.035 0.417 0.759
0.784 0.032 0.757
0.585 0.210 0.242
0.216 0.968 0.243
0.965 0.583 0.241
0.415 0.790 0.758
0.500 0.500 0.500
0.000 0.000 0.000
```

Values from the calculation:
ΔE_f ... 0.130 eV per atom
Total moment ... 0.0 μB/cell

---

# 16
Density functional theory data (PBE) for a relaxed CeScTl2 crystal.

POSCAR file:
```
CeScTl2
1.0
-0.293 1.087 3.313
0.321 -3.302 1.112
8.432 0.964 0.429
Sc Tl Ce
1 2 1
direct
0.500 0.500 0.000
0.000 0.000 0.770
0.000 0.000 0.230
0.500 0.500 0.500
```

Values from the calculation:
ΔE_f ... -0.257 eV per atom
Total moment ... 0.9 μB/cell

---

# 17
Density functional theory data (PBE) for a relaxed Sm6Pt23 crystal.

POSCAR file:
```
Sm6Pt23
1.0
7.948 0.000 4.589
2.649 7.494 4.589
0.000 0.000 9.178
Sm Pt
6 23
direct
0.219 0.781 0.781
0.781 0.219 0.219
0.219 0.219 0.781
0.781 0.781 0.219
0.219 0.781 0.219
0.781 0.219 0.781
0.500 0.500 0.500
0.500 0.000 0.000
0.000 0.500 0.500
0.500 0.500 0.000
0.000 0.000 0.500
0.500 0.000 0.500
0.000 0.500 0.000
0.137 0.621 0.621
0.621 0.621 0.137
0.621 0.137 0.621
0.621 0.621 0.621
0.379 0.379 0.863
0.863 0.379 0.379
0.379 0.863 0.379
0.379 0.379 0.379
0.504 0.832 0.832
0.832 0.832 0.504
0.832 0.504 0.832
0.832 0.832 0.832
0.168 0.168 0.496
0.496 0.168 0.168
0.168 0.496 0.168
0.168 0.168 0.168
```

Values from the calculation:
ΔE_f ... -0.728 eV per atom
Total moment ... 0.0 μB/cell

---

# 18
Density functional theory data (PBE) for a relaxed VSnPt crystal.

POSCAR file:
```
VSnPt
1.0
-1.225 0.632 -2.677
-2.747 -0.117 1.229
2.280 5.357 1.916
Sn Pt V
1 1 1
direct
0.621 0.621 0.242
0.931 0.931 0.863
0.298 0.298 0.595
```

Values from the calculation:
ΔE_f ... -0.170 eV per atom
Total moment ... 0.9 μB/cell

---

# 19
Density functional theory data (PBE) for a relaxed La5Ho4Tm crystal.

POSCAR file:
```
La5Ho4Tm
1.0
3.696 0.000 0.000
0.000 3.696 0.000
0.000 0.000 24.849
La Ho Tm
5 4 1
direct
0.500 0.500 0.099
0.500 0.500 0.300
0.500 0.500 0.500
0.500 0.500 0.700
0.500 0.500 0.901
0.000 0.000 0.199
0.000 0.000 0.400
0.000 0.000 0.600
0.000 0.000 0.801
0.000 0.000 0.000
```

Values from the calculation:
ΔE_f ... 0.027 eV per atom
ΔE to the lowest computed polymorph ... 0 meV per atom
Total moment ... 0.0 μB/cell

---

# 20
Density functional theory data (PBE) for a relaxed La2TbNdH crystal.

POSCAR file:
```
La2TbNdH
1.0
-0.098 5.063 0.784
-4.182 -0.558 3.086
3.134 -0.581 4.143
La Tb Nd H
2 1 1 1
direct
0.000 0.000 0.500
0.000 0.500 0.000
0.500 0.000 0.000
0.500 0.500 0.500
0.000 0.000 0.000
```

Values from the calculation:
E_tot ... -23.49 eV for the cell shown
Total moment ... 0.0 μB/cell

---

# 21
Density functional theory data (PBE) for a relaxed KTcO3 crystal.

POSCAR file:
```
KTcO3
1.0
-25.789 -2.178 -11.390
-1.379 -1.729 3.453
8.809 2.950 4.995
K Tc O
4 4 12
direct
0.515 0.749 0.691
0.485 0.251 0.309
0.985 0.249 0.809
0.015 0.751 0.191
0.091 0.292 0.652
0.909 0.708 0.348
0.409 0.792 0.848
0.591 0.208 0.152
0.251 0.767 0.586
0.749 0.233 0.414
0.249 0.267 0.914
0.751 0.733 0.086
0.337 0.250 0.395
0.663 0.750 0.605
0.163 0.750 0.105
0.837 0.250 0.895
0.581 0.723 0.135
0.419 0.277 0.865
0.919 0.223 0.365
0.081 0.777 0.635
```

Values from the calculation:
Uncorrected formation energy ... -1.491 eV per atom
Total moment ... 0.0 μB/cell

---

# 22
Density functional theory data (PBE) for a relaxed ReMoI3 crystal.

POSCAR file:
```
ReMoI3
1.0
-5.288 1.522 -0.449
-1.378 -5.178 -1.328
-0.787 -1.160 5.340
I Re Mo
3 1 1
direct
0.000 0.500 0.000
0.000 0.000 0.500
0.500 0.000 0.000
0.000 0.000 0.000
0.500 0.500 0.500
```

Values from the calculation:
ΔE to the lowest computed polymorph ... 0 meV per atom
Uncorrected formation energy ... 1.462 eV per atom
Total moment ... 8.0 μB/cell

---

# 23
Density functional theory data (PBE) for a relaxed La2Ho2Sn2C crystal.

POSCAR file:
```
La2Ho2Sn2C
1.0
4.862 0.000 0.000
0.000 4.862 0.000
-2.431 -2.431 8.380
La Ho Sn C
2 2 2 1
direct
0.161 0.161 0.321
0.839 0.839 0.679
0.000 0.500 0.000
0.500 0.000 0.000
0.367 0.367 0.734
0.633 0.633 0.266
0.000 0.000 0.000
```

Values from the calculation:
ΔE_f ... -0.735 eV per atom
Total moment ... 0.0 μB/cell

---

# 24
Density functional theory data (PBE) for a relaxed Pr6SiNi2Cl3 crystal.

POSCAR file:
```
Pr6SiNi2Cl3
1.0
4.103 0.000 0.000
0.000 8.783 0.127
-2.052 -2.720 8.944
Pr Si Ni Cl
6 1 2 3
direct
0.337 0.891 0.673
0.675 0.560 0.350
0.663 0.109 0.327
0.011 0.241 0.021
0.989 0.759 0.979
0.325 0.440 0.650
0.500 0.000 0.000
0.831 0.664 0.661
0.169 0.336 0.339
0.500 0.500 0.000
0.840 0.166 0.681
0.160 0.834 0.319
```

Values from the calculation:
Uncorrected formation energy ... -0.965 eV per atom
Total moment ... 0.0 μB/cell

---

# 25
Density functional theory data (PBE) for a relaxed Re2TcAg crystal.

POSCAR file:
```
Re2TcAg
1.0
-0.967 2.667 9.069
1.229 1.007 9.369
1.583 3.651 8.629
Ag Re Tc
1 2 1
direct
0.750 0.750 0.750
0.995 0.995 0.995
0.249 0.249 0.249
0.505 0.505 0.505
```

Values from the calculation:
ΔE_f ... 0.252 eV per atom
ΔE to the lowest computed polymorph ... 0 meV per atom
Total moment ... 0.0 μB/cell